# HoFeCu | the Alexandria database | PBE | optimized geometry
data_HoFeCu
_cell_length_a 5.058
_cell_length_b 5.112
_cell_length_c 7.499
_cell_angle_alpha 90.00
_cell_angle_beta 90.00
_cell_angle_gamma 90.00
_space_group_name_H-M_alt 'I m m a'
_space_group_IT_number 74
_space_group_name_Hall '-I 2b 2'
loop_
_atom_site_label
_atom_site_fract_x
_atom_site_fract_y
_atom_site_fract_z
Ho1 0.000 0.250 0.122
Fe1 0.250 0.250 0.750
Cu1 0.000 0.000 0.500
# E: -69.4 eV for the cell shown
# energy of formation: -0.07 eV/atom